! Ba2LuIn | Alexandria | PBE | relaxed; values from VASP
&SYSTEM
  ibrav = 0, nat = 4, ntyp = 3
/
ATOMIC_SPECIES
Ba 137.33 Ba.upf
In 114.82 In.upf
Lu 174.97 Lu.upf
ATOMIC_POSITIONS crystal
Ba 0.907 0.907 0.278
Ba 0.093 0.093 0.722
In 0.500 0.500 0.500
Lu 0.000 0.000 0.000
CELL_PARAMETERS angstrom
3.792 0.000 0.000
1.896 3.284 0.000
1.896 1.095 12.892
! Calculated volume   160.6 Å³ per cell
! Space-group type   R-3m, No. 166
! Size of the total moment   0.00 Bohr magnetons per cell
! ΔE_f   247 meV per atom